Below is a geometry-optimized CaPr3Pu2Te6 structure, with properties calculated at the PBE level.

Structure (CIF):
```
data_CaPr3Pu2Te6
_cell_length_a 7.7696
_cell_length_b 13.4527
_cell_length_c 7.8271
_cell_angle_alpha 90.00
_cell_angle_beta 109.35
_cell_angle_gamma 90.00
_symmetry_space_group_name_H-M 'C 1 2/m 1'
_symmetry_Int_Tables_number 12
loop_
_symmetry_equiv_pos_as_xyz
'x,y,z'
'-x,-y,-z'
'-x,y,-z'
'x,-y,z'
'x+1/2,y+1/2,z'
'-x+1/2,-y+1/2,-z'
'-x+1/2,y+1/2,-z'
'x+1/2,-y+1/2,z'
loop_
_atom_site_label
_atom_site_type_symbol
_atom_site_fract_x
_atom_site_fract_y
_atom_site_fract_z
Ca1 Ca 0.0000 0.0000 0.0000
Pr1 Pr 0.0000 0.1662 0.5000
Pr2 Pr 0.0000 0.5000 0.5000
Pu1 Pu 0.0000 0.3334 0.0000
Te1 Te 0.2472 0.5000 0.2419
Te2 Te 0.2475 0.1666 0.2424
```

The density of states at the Fermi level comes out at 2.167 states/eV/atom. The formation energy without anion corrections is -16.25 eV per formula unit.